Material: AcPPtO
Method: DFT, PBE
State: relaxed

extended XYZ file:
```
8
Lattice="4.813 0.000 0.000 0.000 4.249 0.000 0.000 0.000 7.342" Properties=species:S:1:pos:R:3 pbc="T T T"
Ac 0.000 1.051 0.000
Ac 0.000 3.198 3.671
P 2.406 1.047 4.895
P 2.406 3.202 1.224
Pt 2.406 1.084 2.447
Pt 2.406 3.165 6.119
O 0.000 1.079 2.447
O 0.000 3.170 6.118
```

Output
* volume: 75.1 Å³/f.u.
* SG: Pmc2_1 (26)
* uncorrected energy: -6.69 eV/atom
* excess energy over the best structure of this formula in the dataset: 0.347 eV/atom
* total moment: 0.000 μB per atom